(1)
Computed, not measured: MnAgPd2 after structural relaxation at the GGA-PBE level of DFT.

Summary:
The value obtained for the density of states at the Fermi level is 0.80 states/eV/atom. The total energy is -5.297 eV/atom.

Lattice parameters (Å, degrees): 5.918 5.918 5.918 55.19 152.61 133.08
Site moments in Bohr magnetons follow the coordinates.
Positions (direct):
Mn1 0.000 0.000 0.000  3.93
Pd1 0.000 0.237 0.237  0.16
Pd2 0.000 0.763 0.763  0.16
Ag1 0.000 0.500 0.500  0.06



(2)
Computed, not measured: Pm4SbN after structural relaxation at the GGA-PBE level of DFT.

Summary:
For the uncorrected formation energy, the calculation gives -764 meV/atom. The value obtained for the density of states at the Fermi level is 0.88 states/eV/atom.

Lattice parameters (Å, degrees): 6.100 7.349 8.037 105.85 112.30 90.01
Positions (direct):
N1 0.000 0.500 0.500
Pm1 0.521 0.944 0.199
Sb1 0.882 0.750 0.000
Pm2 0.750 0.319 0.619
Pm3 0.250 0.681 0.381
Sb2 0.118 0.250 0.000
Pm4 0.479 0.056 0.801
Pm5 0.323 0.555 0.801
Pm6 0.869 0.819 0.620
Pm7 0.677 0.445 0.199
Pm8 0.131 0.181 0.380
N2 0.500 0.000 0.500